[1]
HfInH | the Alexandria database | PBE | relaxed; space-group type = Pnma, No. 62; total energy = -5.48 eV per atom
1.0
7.576 0.000 0.000
0.000 4.010 0.000
0.000 0.000 6.206
Hf In H
4 4 4
Cartesian
1.088 1.002 0.588
2.700 3.007 3.691
4.876 1.002 2.515
6.488 3.007 5.618
0.470 1.002 3.922
3.318 3.007 0.819
4.258 1.002 5.387
7.106 3.007 2.284
0.827 3.007 6.088
2.961 1.002 2.985
4.615 3.007 3.221
6.749 1.002 0.118

=====

[2]
La3Y6Ho2Sc | the Alexandria database | PBE | relaxed; space-group type = C2/m, No. 12; DFT formation energy = 35 meV per atom
1.0
3.105 -5.380 0.000
3.105 5.380 0.000
-2.073 0.000 11.662
La Y Ho Sc
3 6 2 1
Cartesian
0.000 0.000 0.000
3.105 1.793 0.000
3.105 -1.793 0.000
1.046 1.779 3.013
0.010 0.000 8.649
1.046 -1.779 3.013
3.091 1.779 8.648
4.127 0.000 3.012
3.091 -1.779 8.648
2.069 3.589 5.831
2.069 -3.589 5.831
2.069 0.000 5.831